[1]
Entry from the Alexandria database: an optimized crystal structure of Sc2AlRe (PBE).

Unit cell a=9.151 b=9.151 c=9.151 alpha=19.79 beta=19.79 gamma=19.79
Fractional positions:
1 Sc 0.242 0.242 0.242
2 Sc 0.758 0.758 0.758
3 Al 0.000 0.000 0.000
4 Re 0.500 0.500 0.500

Values from the calculation:
Total magnetization in μB per atom: 0.0001
Space-group type: R-3m, No. 166
Electronic total energy in eV per atom: -7.237
N(E_F) in states/eV/f.u.: 3.07
ΔH_f (0 K) in kJ/mol of atoms: -2.3

[2]
Entry from the Alexandria database: an optimized crystal structure of Sc2AlRe (PBE).

Unit cell a=10.117 b=10.117 c=10.117 alpha=17.73 beta=17.73 gamma=17.73
Fractional positions:
1 Sc 0.099 0.099 0.099
2 Sc 0.901 0.901 0.901
3 Al 0.000 0.000 0.000
4 Re 0.500 0.500 0.500

Values from the calculation:
Total magnetization in μB per atom: 0.0000
Space-group type: R-3m, No. 166
Electronic total energy in eV per atom: -6.944
N(E_F) in states/eV/f.u.: 4.69
ΔH_f (0 K) in kJ/mol of atoms: 26.0

[3]
Entry from the Alexandria database: an optimized crystal structure of ScAl10Re2 (PBE).

Unit cell a=6.894 b=6.894 c=9.097 alpha=90.00 beta=90.00 gamma=96.73
Fractional positions:
1 Sc 0.135 0.865 0.750
2 Sc 0.865 0.135 0.250
3 Al 0.144 0.856 0.095
4 Al 0.144 0.856 0.405
5 Al 0.147 0.415 0.750
6 Al 0.206 0.466 0.250
7 Al 0.226 0.226 0.000
8 Al 0.226 0.226 0.500
9 Al 0.374 0.626 0.535
10 Al 0.374 0.626 0.965
11 Al 0.415 0.147 0.250
12 Al 0.466 0.206 0.750
13 Al 0.534 0.794 0.250
14 Al 0.585 0.853 0.750
15 Al 0.626 0.374 0.035
16 Al 0.626 0.374 0.465
17 Al 0.774 0.774 0.000
18 Al 0.774 0.774 0.500
19 Al 0.794 0.534 0.750
20 Al 0.853 0.585 0.250
21 Al 0.856 0.144 0.595
22 Al 0.856 0.144 0.905
23 Re 0.000 0.500 0.000
24 Re 0.000 0.500 0.500
25 Re 0.500 0.000 0.000
26 Re 0.500 0.000 0.500

Values from the calculation:
Total magnetization in μB per atom: 0.0000
Space-group type: Cmcm, No. 63
Electronic total energy in eV per atom: -5.588
N(E_F) in states/eV/f.u.: 5.42
ΔH_f (0 K) in kJ/mol of atoms: -29.6

[4]
Entry from the Alexandria database: an optimized crystal structure of ScAl2Re (PBE).

Unit cell a=2.812 b=2.812 c=8.878 alpha=90.00 beta=90.00 gamma=108.11
Fractional positions:
1 Sc 0.000 0.000 0.000
2 Al 0.500 0.500 0.271
3 Al 0.500 0.500 0.729
4 Re 0.000 0.000 0.500

Values from the calculation:
Total magnetization in μB per atom: 0.0000
Space-group type: Cmmm, No. 65
Electronic total energy in eV per atom: -6.647
N(E_F) in states/eV/f.u.: 3.10
ΔH_f (0 K) in kJ/mol of atoms: -7.8

[5]
Entry from the Alexandria database: an optimized crystal structure of ScAl3Re (PBE).

Unit cell a=4.776 b=4.776 c=4.776 alpha=90.00 beta=90.00 gamma=90.00
Fractional positions:
1 Sc 0.000 0.000 0.000
2 Al 0.000 0.000 0.500
3 Al 0.000 0.500 0.000
4 Al 0.500 0.000 0.000
5 Re 0.500 0.500 0.500

Values from the calculation:
Distance to the lowest polymorph of the same formula in kJ per mole of atoms: 178.9
Total magnetization in μB per atom: 0.1780
Space-group type: Pm-3m, No. 221
Electronic total energy in eV per atom: -4.036
N(E_F) in states/eV/f.u.: 6.94
ΔH_f (0 K) in kJ/mol of atoms: 189.6

[6]
Entry from the Alexandria database: an optimized crystal structure of ScAl2Re (PBE).

Unit cell a=3.304 b=3.304 c=6.240 alpha=90.00 beta=90.00 gamma=90.00
Fractional positions:
1 Sc 0.000 0.000 0.000
2 Al 0.000 0.000 0.549
3 Al 0.500 0.500 0.316
4 Re 0.500 0.500 0.746

Values from the calculation:
Total magnetization in μB per atom: 0.0000
Space-group type: P4mm, No. 99
Electronic total energy in eV per atom: -6.780
N(E_F) in states/eV/f.u.: 2.97
ΔH_f (0 K) in kJ/mol of atoms: -20.6